Below is a geometry-optimized KCo2Mo structure, with properties calculated at the PBE level.

Cell lengths 4.490, 4.490, 4.490 Å; angles 60.00, 60.00, 60.00 degrees
Each line ends with the local moment (μB).
Fractional coordinates of all 4 atoms:
K1 0.000 0.000 0.000  -0.03
Co1 0.250 0.250 0.250  1.09
Co2 0.750 0.750 0.750  1.09
Mo1 0.500 0.500 0.500  -0.74

Properties
Volume = 64 Å³/f.u.
Formation energy = 1.41 eV per atom
Excess energy over the best structure of this formula in the dataset = 816 meV per atom
Space group = Fm-3m
Calculated density = 6.6 Mg/m³